No. 1
The following is a DFT calculation (PBE) of a relaxed structure of Ni2IrRu.

```
Ni2IrRu
1.0
2.6821 0.0000 0.0000
0.0000 2.6821 0.0000
0.0000 0.0000 7.0674
Ni Ru Ir
2 1 1
Direct
0.0000 0.0000 0.0112
0.5000 0.5000 0.2419
0.0000 0.0000 0.4917
0.5000 0.5000 0.7551
```

Properties
Energy of formation, meV per atom: 58
Symmetry: P4mm
Excess energy over the best structure of this formula in the dataset, meV per atom: 59.2
Spin magnetization, μB per cell: 0.6

No. 2
The following is a DFT calculation (PBE) of a relaxed structure of NiIr3Ru.

```
NiIr3Ru
1.0
3.9710 -0.0009 0.0000
0.0012 5.2204 0.0000
0.0000 0.0000 7.1836
Ni Ru Ir
2 2 6
Direct
0.2500 0.7500 0.8630
0.7500 0.2500 0.1370
0.7500 0.7500 0.4372
0.2500 0.2500 0.5628
0.2500 0.5042 0.2578
0.2500 0.2500 0.9244
0.7500 0.7500 0.0756
0.7500 0.0042 0.7422
0.2500 0.9958 0.2578
0.7500 0.4958 0.7422
```

Properties
Energy of formation, meV per atom: 286
Symmetry: Pmmn
Excess energy over the best structure of this formula in the dataset, meV per atom: 246.7
Spin magnetization, μB per cell: 0.0

No. 3
The following is a DFT calculation (PBE) of a relaxed structure of NiIrRu.

```
NiIrRu
1.0
5.7724 0.0000 0.0000
0.0000 6.7191 0.0110
0.0000 -0.8459 4.8558
Ir Ni Ru
4 4 4
Direct
0.2197 0.0000 0.5000
0.7197 0.5000 0.5000
0.2803 0.5000 0.5000
0.7803 0.0000 0.5000
0.2864 0.0000 0.0000
0.7864 0.5000 0.0000
0.2136 0.5000 0.0000
0.7136 0.0000 0.0000
0.0000 0.7472 0.7487
0.0000 0.2528 0.2513
0.5000 0.2472 0.7487
0.5000 0.7528 0.2513
```

Properties
Energy of formation, meV per atom: 611
Symmetry: C2/m
Excess energy over the best structure of this formula in the dataset, meV per atom: 622.7
Spin magnetization, μB per cell: 0.0

No. 4
The following is a DFT calculation (PBE) of a relaxed structure of NiIrRu.

```
NiIrRu
1.0
4.3303 0.0000 0.0000
0.0000 4.0207 -2.2346
0.0000 -0.1012 4.5989
Ru Ir Ni
2 2 2
Direct
0.2500 0.9164 0.4309
0.7500 0.5691 0.0836
0.2500 0.2440 0.1063
0.7500 0.8937 0.7560
0.2500 0.5739 0.7638
0.7500 0.2362 0.4261
```

Properties
Energy of formation, meV per atom: 14
Symmetry: Ama2
Excess energy over the best structure of this formula in the dataset, meV per atom: 26.1
Spin magnetization, μB per cell: 0.0

No. 5
The following is a DFT calculation (PBE) of a relaxed structure of NiIrRu.

```
NiIrRu
1.0
5.8019 0.0064 0.0000
4.5466 3.6044 0.0000
-5.1742 -1.8054 1.9053
Ni Ru Ir
1 1 1
Direct
0.3321 0.3321 0.0000
0.6683 0.6683 0.0000
0.9996 0.9996 0.0000
```

Properties
Energy of formation, meV per atom: 55
Symmetry: I4mm
Excess energy over the best structure of this formula in the dataset, meV per atom: 67.4
Spin magnetization, μB per cell: 0.1

No. 6
The following is a DFT calculation (PBE) of a relaxed structure of Ni2Ir3Ru.

```
Ni2Ir3Ru
1.0
4.3998 0.3645 1.1889
-1.1597 6.1673 1.9808
-0.1431 0.5424 5.9495
Ir Ni Ru
6 4 2
Direct
0.4554 0.7096 0.3712
0.2054 0.9581 0.6265
0.7084 0.4600 0.1237
0.7946 0.0419 0.3735
0.2916 0.5400 0.8763
0.5446 0.2904 0.6288
0.8738 0.6256 0.6256
0.1262 0.3744 0.3744
0.6242 0.8754 0.8755
0.3758 0.1246 0.1245
0.0413 0.7934 0.1243
0.9587 0.2066 0.8757
```

Properties
Energy of formation, meV per atom: -18
Symmetry: P-1
Spin magnetization, μB per cell: 0.0

No. 7
The following is a DFT calculation (PBE) of a relaxed structure of Ni3Ir7Ru.

```
Ni3Ir7Ru
1.0
-0.6189 -3.9044 -2.5929
2.0338 -0.9850 6.1455
-5.4233 2.4870 2.6974
Ir Ru Ni
7 1 3
Direct
0.0000 0.5000 0.5000
0.3167 0.1865 0.1865
0.6736 0.9331 0.4173
0.3264 0.0669 0.5827
0.6833 0.8135 0.8135
0.3264 0.5827 0.0669
0.6736 0.4173 0.9331
0.5000 0.5000 0.5000
0.5000 0.0000 0.0000
0.0000 0.2221 0.7779
0.0000 0.7779 0.2221
```

Properties
Energy of formation, meV per atom: 492
Symmetry: C2/m
Spin magnetization, μB per cell: 0.0

No. 8
The following is a DFT calculation (PBE) of a relaxed structure of NiIr6Ru2.

```
NiIr6Ru2
1.0
3.8257 0.0000 0.0000
1.9128 4.2916 0.0012
1.9128 1.7077 7.7134
Ir Ru Ni
6 2 1
Direct
0.6673 0.0580 0.6074
0.3293 0.2822 0.0592
0.0003 0.8309 0.1685
0.9997 0.1691 0.8315
0.6707 0.7178 0.9408
0.3327 0.9420 0.3926
0.3324 0.6163 0.7190
0.6676 0.3837 0.2810
0.0000 0.5000 0.5000
```

Properties
Energy of formation, meV per atom: -9
Symmetry: C2/m
Excess energy over the best structure of this formula in the dataset, meV per atom: 0.0
Spin magnetization, μB per cell: 0.0

No. 9
The following is a DFT calculation (PBE) of a relaxed structure of Ni2Ir4Ru.

```
Ni2Ir4Ru
1.0
2.6691 0.0000 -0.3522
0.0000 3.8277 0.0000
-0.0621 0.0000 9.8193
Ni Ir Ru
2 4 1
Direct
0.8005 0.5000 0.6010
0.1995 0.5000 0.3990
0.0695 0.5000 0.1390
0.6397 0.0000 0.2793
0.3603 0.0000 0.7207
0.9305 0.5000 0.8610
0.5000 0.0000 0.0000
```

Properties
Energy of formation, meV per atom: 192
Symmetry: Cmmm
Spin magnetization, μB per cell: 0.0

No. 10
The following is a DFT calculation (PBE) of a relaxed structure of Ni2IrRu.

```
Ni2IrRu
1.0
4.4522 -0.0014 -0.0038
3.6659 2.5266 -0.0038
0.7820 0.2432 4.5374
Ru Ni Ir
1 2 1
Direct
0.7500 0.7500 0.7500
0.9998 0.9998 0.9968
0.5002 0.5002 0.5032
0.2500 0.2500 0.2500
```

Properties
Energy of formation, meV per atom: 83
Symmetry: C2/m
Excess energy over the best structure of this formula in the dataset, meV per atom: 84.8
Spin magnetization, μB per cell: 0.0

No. 11
The following is a DFT calculation (PBE) of a relaxed structure of NiIr4Ru2.

```
NiIr4Ru2
1.0
-3.3834 0.3420 2.5816
0.5560 -4.3985 1.3113
6.4088 3.1881 7.9770
Ni Ir Ru
2 8 4
Direct
0.0000 0.0000 0.5000
0.0000 0.5000 0.0000
0.5000 0.7471 0.5624
0.0000 0.9217 0.1877
0.5000 0.2471 0.9376
0.0000 0.4217 0.3123
0.5000 0.2529 0.4376
0.0000 0.5783 0.6877
0.5000 0.7529 0.0624
0.0000 0.0783 0.8123
0.5000 0.2526 0.1755
0.5000 0.7526 0.3245
0.5000 0.2474 0.6755
0.5000 0.7474 0.8245
```

Properties
Energy of formation, meV per atom: 337
Symmetry: Pbam
Spin magnetization, μB per cell: 0.0

No. 12
The following is a DFT calculation (PBE) of a relaxed structure of NiIr3Ru.

```
NiIr3Ru
1.0
4.3314 0.0001 -0.0019
-0.0002 4.7147 -0.2322
0.0030 -2.0405 6.8628
Ir Ru Ni
6 2 2
Direct
0.4169 0.5633 0.4050
0.9169 0.7021 0.0106
0.4169 0.1634 0.6102
0.4169 0.3590 0.0023
0.9169 0.4978 0.6079
0.9169 0.8977 0.4027
0.4169 0.7745 0.8087
0.9169 0.2866 0.2043
0.4169 0.9681 0.2034
0.9169 0.0931 0.8095
```

Properties
Energy of formation, meV per atom: 40
Symmetry: P2_1/m
Excess energy over the best structure of this formula in the dataset, meV per atom: 0.0
Spin magnetization, μB per cell: 0.0

No. 13
The following is a DFT calculation (PBE) of a relaxed structure of Ni2IrRu.

```
Ni2IrRu
1.0
-3.9500 -1.1020 1.9816
-2.0061 -2.0583 3.5331
-0.4843 3.4548 2.7362
Ni Ir Ru
2 1 1
Direct
0.7483 0.7483 0.7598
0.0011 0.0011 0.9892
0.2506 0.2506 0.2553
0.5001 0.5001 0.4958
```

Properties
Energy of formation, meV per atom: 24
Symmetry: Cm
Excess energy over the best structure of this formula in the dataset, meV per atom: 25.5
Spin magnetization, μB per cell: 0.0

No. 14
The following is a DFT calculation (PBE) of a relaxed structure of NiIr5Ru4.

```
NiIr5Ru4
1.0
2.7169 0.0000 0.0000
0.0000 2.7169 0.0000
0.0000 0.0000 18.9384
Ir Ru Ni
5 4 1
Direct
0.5000 0.5000 0.0957
0.5000 0.5000 0.2973
0.5000 0.5000 0.5000
0.5000 0.5000 0.7027
0.5000 0.5000 0.9043
0.0000 0.0000 0.1934
0.0000 0.0000 0.3981
0.0000 0.0000 0.8066
0.0000 0.0000 0.6019
0.0000 0.0000 0.0000
```

Properties
Energy of formation, meV per atom: -14
Symmetry: P4/mmm
Spin magnetization, μB per cell: 0.3

No. 15
The following is a DFT calculation (PBE) of a relaxed structure of NiIr4Ru.

```
NiIr4Ru
1.0
2.3793 -0.2465 4.5059
-2.6490 0.5943 4.3191
-0.7816 -3.9892 3.0823
Ir Ni Ru
4 1 1
Direct
0.3751 0.8746 0.3751
0.3751 0.3751 0.8746
0.3751 0.3751 0.3751
0.8746 0.3751 0.3751
0.7500 0.7500 0.7500
0.0000 0.0000 0.0000
```

Properties
Energy of formation, meV per atom: 686
Symmetry: F-43m
Excess energy over the best structure of this formula in the dataset, meV per atom: 681.4
Spin magnetization, μB per cell: 3.0

No. 16
The following is a DFT calculation (PBE) of a relaxed structure of Ni2IrRu.

```
Ni2IrRu
1.0
4.1909 0.0000 0.0000
2.0954 3.6294 0.0000
2.0954 1.2098 3.4218
Ir Ni Ru
1 2 1
Direct
0.5000 0.5000 0.5000
0.0000 0.0000 0.0000
0.7500 0.7500 0.7500
0.2500 0.2500 0.2500
```

Properties
Energy of formation, meV per atom: 287
Symmetry: F-43m
Excess energy over the best structure of this formula in the dataset, meV per atom: 288.8
Spin magnetization, μB per cell: 1.6

No. 17
The following is a DFT calculation (PBE) of a relaxed structure of NiIr3Ru.

```
NiIr3Ru
1.0
4.4045 0.0000 0.0000
0.0000 4.4045 0.0000
0.0000 0.0000 4.4045
Ir Ni Ru
3 1 1
Direct
0.0000 0.5000 0.0000
0.0000 0.0000 0.5000
0.5000 0.0000 0.0000
0.0000 0.0000 0.0000
0.5000 0.5000 0.5000
```

Properties
Energy of formation, meV per atom: 1718
Symmetry: Pm-3m
Excess energy over the best structure of this formula in the dataset, meV per atom: 1678.7
Spin magnetization, μB per cell: 4.1

No. 18
The following is a DFT calculation (PBE) of a relaxed structure of Ni2IrRu.

```
Ni2IrRu
1.0
2.6136 0.0032 0.0000
-1.2437 2.2987 0.0000
0.0000 0.0000 8.7451
Ni Ir Ru
2 1 1
Direct
0.0000 0.0000 0.0094
0.5000 0.5000 0.2422
0.5000 0.5000 0.7580
0.0000 0.0000 0.4905
```

Properties
Energy of formation, meV per atom: 314
Symmetry: Cmm2
Excess energy over the best structure of this formula in the dataset, meV per atom: 314.9
Spin magnetization, μB per cell: 0.3

No. 19
The following is a DFT calculation (PBE) of a relaxed structure of NiIr12Ru3.

```
NiIr12Ru3
1.0
3.8450 0.0000 0.0000
0.0000 3.8450 0.0000
0.0000 0.0000 15.4207
Ir Ru Ni
12 3 1
Direct
0.5000 0.0000 0.8755
0.5000 0.0000 0.1245
0.5000 0.0000 0.6254
0.0000 0.5000 0.1245
0.5000 0.5000 0.5000
0.0000 0.5000 0.8755
0.5000 0.5000 0.7500
0.5000 0.5000 0.2500
0.0000 0.5000 0.3746
0.0000 0.5000 0.6254
0.5000 0.0000 0.3746
0.5000 0.5000 0.0000
0.0000 0.0000 0.5000
0.0000 0.0000 0.7545
0.0000 0.0000 0.2455
0.0000 0.0000 0.0000
```

Properties
Energy of formation, meV per atom: -18
Symmetry: P4/mmm
Spin magnetization, μB per cell: 0.0

No. 20
The following is a DFT calculation (PBE) of a relaxed structure of NiSn2IrRu.

```
NiSn2IrRu
1.0
4.9906 0.0000 0.0000
0.0000 4.5835 0.0000
0.0000 0.0000 4.9906
Sn Ir Ru Ni
2 1 1 1
Direct
0.5000 0.0000 0.0000
0.0000 0.0000 0.5000
0.0000 0.0000 0.0000
0.5000 0.5000 0.5000
0.0000 0.5000 0.0000
```

Properties
Energy of formation, meV per atom: 1045
Symmetry: P4/mmm
Spin magnetization, μB per cell: 3.3

No. 21
The following is a DFT calculation (PBE) of a relaxed structure of TaNiIrRu.

```
TaNiIrRu
1.0
-3.8565 -2.0057 0.1094
-1.2784 -2.4389 -3.3652
-0.1903 -4.3258 0.3982
Ta Ir Ru Ni
1 1 1 1
Direct
0.5000 0.5000 0.5000
0.7500 0.7500 0.7500
0.2500 0.2500 0.2500
0.0000 0.0000 0.0000
```

Properties
Energy of formation, meV per atom: -221
Symmetry: F-43m
Excess energy over the best structure of this formula in the dataset, meV per atom: 212.5
Spin magnetization, μB per cell: 0.8

No. 22
The following is a DFT calculation (PBE) of a relaxed structure of TaNiIrRu.

```
TaNiIrRu
1.0
3.7381 0.0000 0.0000
0.0000 3.8609 0.0000
0.0000 0.0000 3.9392
Ru Ta Ni Ir
1 1 1 1
Direct
0.0000 0.0000 0.0000
0.5000 0.5000 0.0000
0.5000 0.0000 0.5000
0.0000 0.5000 0.5000
```

Properties
Energy of formation, meV per atom: -434
Symmetry: Pmmm
Excess energy over the best structure of this formula in the dataset, meV per atom: 0.0
Spin magnetization, μB per cell: 0.0

No. 23
The following is a DFT calculation (PBE) of a relaxed structure of NiTeIrRu.

```
NiTeIrRu
1.0
3.9679 0.0000 0.0000
0.0000 3.0166 0.0000
0.0000 0.0000 10.5054
Ni Ru Ir Te
2 2 2 2
Direct
0.0000 0.5000 0.3586
0.0000 0.0000 0.8586
0.5000 0.0000 0.4992
0.5000 0.5000 0.9992
0.5000 0.0000 0.2544
0.5000 0.5000 0.7544
0.0000 0.0000 0.0951
0.0000 0.5000 0.5951
```

Properties
ΔE_f (raw), kJ/mol of formula units: 136
Symmetry: Amm2
Excess energy over the best structure of this formula in the dataset, meV per atom: 85.8
Spin magnetization, μB per cell: 0.0

No. 24
The following is a DFT calculation (PBE) of a relaxed structure of NiTeIrRu.

```
NiTeIrRu
1.0
-0.6195 1.2297 4.3041
2.7807 -0.9389 0.6685
1.8355 3.6735 -2.4755
Ru Te Ni Ir
1 1 1 1
Direct
0.6818 0.5000 0.0954
0.2024 0.0000 0.1197
0.2010 0.5000 0.5858
0.7177 0.0000 0.6139
```

Properties
ΔE_f (raw), kJ/mol of formula units: 115
Symmetry: Pm
Excess energy over the best structure of this formula in the dataset, meV per atom: 32.0
Spin magnetization, μB per cell: 0.0

No. 25
The following is a DFT calculation (PBE) of a relaxed structure of NiTeIrRu.

```
NiTeIrRu
1.0
-2.4324 -1.6301 -2.9329
2.1678 -1.9566 -0.7104
-3.1286 -6.1610 7.4222
Ni Ru Te Ir
2 2 2 2
Direct
0.8270 0.0000 0.2702
0.8270 0.5000 0.7702
0.2814 0.0000 0.1030
0.2814 0.5000 0.6030
0.7607 0.5000 0.0116
0.7607 0.0000 0.5116
0.3282 0.5000 0.3226
0.3282 0.0000 0.8226
```

Properties
ΔE_f (raw), kJ/mol of formula units: 119
Symmetry: Cm
Excess energy over the best structure of this formula in the dataset, meV per atom: 40.7
Spin magnetization, μB per cell: 0.0